a.
A crystal of Be2Zn relaxed with PBEsol. Source: Alexandria, functional SCAN.

Summary:
ρ: 4.35 g/cm³

Cell lengths 2.5524, 3.7725, 4.0187 Å; angles 117.99, 108.52, 90.00 degrees
Closest atoms and distances in Å follow each position.
Atoms (fractional coordinates):
Be  0.1995  0.6995  0.3989  4 Zn 2.30-2.36, 6 Be 2.37-2.55
Be  0.8005  0.3005  0.6011  4 Zn 2.30-2.36, 6 Be 2.37-2.55
Zn  0.0000  0.0000  0.0000  8 Be 2.30-2.36, 2 Zn 2.55

---

b.
A crystal of Be2Zn relaxed with PBEsol. Source: Alexandria, functional SCAN.

Summary:
ρ: 4.76 g/cm³

Cell lengths 4.3500, 4.3500, 4.3500 Å; angles 60.00, 60.00, 60.00 degrees
Closest atoms and distances in Å follow each position.
Atoms (fractional coordinates):
Be  0.1250  0.6250  0.1250  6 Be 2.18
Be  0.1250  0.1250  0.6250  6 Be 2.18
Be  0.6250  0.1250  0.1250  6 Be 2.18
Be  0.1250  0.1250  0.1250  6 Be 2.18
Zn  0.7500  0.7500  0.7500  12 Be 2.55, 4 Zn 2.66
Zn  0.5000  0.5000  0.5000  12 Be 2.55, 4 Zn 2.66

---

Energy ordering: b at the bottom, the next structure 193 meV per atom above.

---

a.
A crystal of Bi2IBr relaxed with PBEsol. Source: Alexandria, functional SCAN.

Summary:
ρ: 6.95 g/cm³

Cell lengths 4.2778, 7.5088, 29.3908 Å; angles 97.97, 90.00, 106.55 degrees
Closest atoms and distances in Å follow each position.
Atoms (fractional coordinates):
I  0.2467  0.4935  0.8710  2 Bi 3.09
I  0.7031  0.4063  0.7402  2 Bi 3.08
I  0.9731  0.9461  0.9257  2 Bi 3.09
I  0.2969  0.5937  0.2598  2 Bi 3.08
I  0.0269  0.0539  0.0743  2 Bi 3.09
I  0.7533  0.5065  0.1290  2 Bi 3.09
Br  0.3311  0.6621  0.4048  2 Bi 2.92
Br  0.0063  0.0126  0.2129  2 Bi 2.93
Br  0.9937  0.9874  0.7871  2 Bi 2.93
Br  0.6004  0.2007  0.4601  2 Bi 2.92
Br  0.3996  0.7993  0.5399  2 Bi 2.92
Br  0.6689  0.3379  0.5952  2 Bi 2.92
Bi  0.9659  0.9318  0.4328  4 Br 2.92, 1 Bi 3.05
Bi  0.6363  0.2726  0.3432  3 Bi 3.02-3.06
Bi  0.9871  0.9742  0.3311  3 Bi 3.02-3.05
Bi  0.3573  0.7147  0.7605  2 Br 2.93, 1 Bi 3.06, 2 I 3.08
Bi  0.6775  0.3549  0.0031  3 Bi 3.01-3.06
Bi  0.0129  0.0258  0.6689  3 Bi 3.02-3.05
Bi  0.3225  0.6451  0.9969  3 Bi 3.01-3.06
Bi  0.6427  0.2853  0.2395  2 Br 2.93, 1 Bi 3.06, 2 I 3.08
Bi  0.3637  0.7274  0.6568  3 Bi 3.02-3.06
Bi  0.6109  0.2218  0.8995  1 Bi 3.06, 4 I 3.09
Bi  0.3891  0.7782  0.1005  1 Bi 3.06, 4 I 3.09
Bi  0.0341  0.0682  0.5672  4 Br 2.92, 1 Bi 3.05

---

b.
A crystal of Bi2IBr relaxed with PBEsol. Source: Alexandria, functional SCAN.

Summary:
ρ: 8.92 g/cm³

Cell lengths 5.4783, 5.4783, 5.4783 Å; angles 60.00, 60.00, 60.00 degrees
Closest atoms and distances in Å follow each position.
Atoms (fractional coordinates):
Bi  0.2500  0.2500  0.2500  4 Br 3.35, 4 I 3.35
Bi  0.7500  0.7500  0.7500  4 Br 3.35, 4 I 3.35
Br  0.0000  0.0000  0.0000  8 Bi 3.35
I  0.5000  0.5000  0.5000  8 Bi 3.35

---

Energy ordering: a at the bottom, the next structure 607 meV per atom above.

---

a.
A crystal of BiTe2Br relaxed with PBEsol. Source: Alexandria, functional SCAN.

Summary:
ρ: 8.28 g/cm³

Cell lengths 5.3643, 5.3643, 5.3643 Å; angles 60.00, 60.00, 60.00 degrees
Closest atoms and distances in Å follow each position.
Atoms (fractional coordinates):
Te  0.2500  0.2500  0.2500  4 Br 3.28, 4 Bi 3.28
Te  0.7500  0.7500  0.7500  4 Bi 3.28, 4 Br 3.28
Br  0.0000  0.0000  0.0000  8 Te 3.28
Bi  0.5000  0.5000  0.5000  8 Te 3.28

---

b.
A crystal of BiTe2Br relaxed with PBEsol. Source: Alexandria, functional SCAN.

Summary:
ρ: 5.73 g/cm³

Cell lengths 4.5152, 4.5152, 9.3053 Å; angles 75.96, 75.96, 60.00 degrees
Closest atoms and distances in Å follow each position.
Atoms (fractional coordinates):
Te  0.8976  0.8976  0.3071  1 Br 2.74
Te  0.1024  0.1024  0.6929  1 Br 2.74
Bi  0.5000  0.5000  0.5000  6 Te 3.12
Br  0.0000  0.0000  0.0000  2 Te 2.74

---

Energy ordering: b at the bottom, the next structure 259 meV per atom above.